DFT (PBE) results for a relaxed ZrBRu3 crystal.

The structure in POSCAR format:
```
ZrBRu3
1.0
3.2292 -8.8005 0.0000
3.2292 8.8005 0.0000
0.0000 0.0000 4.5271
Zr B Ru
2 2 6
Direct
0.1375 0.8625 0.7500
0.8625 0.1375 0.2500
0.2762 0.7238 0.7500
0.7238 0.2762 0.2500
0.0000 0.0000 0.0000
0.0000 0.0000 0.5000
0.0711 0.5507 0.2500
0.4493 0.9289 0.2500
0.5507 0.0711 0.7500
0.9289 0.4493 0.7500
```

Values from the calculation:
The energy of formation from the pure elements is 1022.9 meV/atom. The calculation puts the magnetic moment at 0.00 μB/f.u.